[1]
Entry from Alexandria: crystalline OsSe2Cl5 at its relaxed geometry (PBE).

Lattice parameters (Å, degrees): 4.6026 7.8588 7.9104 64.68 73.42 73.45
Last column: nearest neighbours and their distance in Å.
Atoms (fractional coordinates):
Os 0.0000 0.0000 0.0000  6 Cl 2.28-2.42
Se 0.0572 0.5943 0.5944  1 Se 2.19
Se 0.5399 0.4892 0.4876  1 Se 2.19
Cl 0.1153 0.6773 0.0738  1 Os 2.28
Cl 0.1188 0.0650 0.6807  1 Os 2.28
Cl 0.4627 0.0542 0.0213  2 Os 2.35-2.36
Cl 0.8596 0.9480 0.3303  1 Os 2.38
Cl 0.8612 0.3394 0.9406  1 Os 2.42, 1 Se 2.69

Output
Space group: No. 1
Energy relative to the elements, uncorrected: -0.172 eV/atom
Theoretical density: 3.6 g/cm³
Electronic total energy: -3.60 eV per atom

=====

[2]
Entry from Alexandria: crystalline Ga4S at its relaxed geometry (PBE).

Lattice parameters (Å, degrees): 4.9748 4.9748 4.9748 90.00 90.00 90.00
Last column: nearest neighbours and their distance in Å.
Atoms (fractional coordinates):
Ga 0.0000 0.0000 0.0000  12 Ga 3.52
Ga 0.0000 0.5000 0.5000  2 S 2.49
Ga 0.5000 0.0000 0.5000  2 S 2.49
Ga 0.5000 0.5000 0.0000  2 S 2.49
S 0.5000 0.5000 0.5000  6 Ga 2.49

Output
Space group: No. 221
Energy relative to the elements, uncorrected: 0.361 eV/atom
Theoretical density: 4.2 g/cm³
Electronic total energy: -2.89 eV per atom

=====

[3]
Entry from Alexandria: crystalline MgRu2Br at its relaxed geometry (PBE).

Lattice parameters (Å, degrees): 5.8595 5.8595 5.8595 101.83 101.83 126.16
Last column: nearest neighbours and their distance in Å.
Atoms (fractional coordinates):
Mg 0.0000 0.0000 0.0000  2 Br 2.65
Mg 0.7500 0.2500 0.5000  2 Br 2.65
Ru 0.1878 0.6250 0.0628  2 Br 2.40
Ru 0.3750 0.4378 0.5628  2 Br 2.40
Ru 0.5622 0.1250 0.9372  2 Br 2.40
Ru 0.8750 0.8122 0.4372  2 Br 2.40
Br 0.2500 0.7500 0.5000  4 Ru 2.40, 2 Mg 2.65
Br 0.5000 0.5000 0.0000  4 Ru 2.40, 2 Mg 2.65

Output
Space group: No. 122
Relative energy among the computed polymorphs: 0.780 eV per atom
Energy relative to the elements, uncorrected: 0.895 eV/atom
Theoretical density: 7.0 g/cm³
Electronic total energy: -4.56 eV per atom

=====

[4]
Entry from Alexandria: crystalline LiHg2H2 at its relaxed geometry (PBE).

Lattice parameters (Å, degrees): 6.0290 6.0290 3.9344 90.00 90.00 90.00
Last column: nearest neighbours and their distance in Å.
Atoms (fractional coordinates):
Li 0.0000 0.0000 0.0000  4 H 2.19
Li 0.5000 0.5000 0.0000  4 H 2.19
Hg 0.1889 0.3111 0.5000  2 H 1.97
Hg 0.3111 0.8111 0.5000  2 H 1.97
Hg 0.6889 0.1889 0.5000  2 H 1.97
Hg 0.8111 0.6889 0.5000  2 H 1.97
H 0.1937 0.3063 0.0000  2 Hg 1.97, 2 Li 2.19
H 0.3063 0.8063 0.0000  2 Hg 1.97, 2 Li 2.19
H 0.6937 0.1937 0.0000  2 Hg 1.97, 2 Li 2.19
H 0.8063 0.6937 0.0000  2 Hg 1.97, 2 Li 2.19

Output
Space group: No. 127
Relative energy among the computed polymorphs: 0.140 eV per atom
Theoretical density: 9.5 g/cm³
Electronic total energy: -1.78 eV per atom

=====

[5]
Entry from Alexandria: crystalline Ni4PdPt4 at its relaxed geometry (PBE).

Lattice parameters (Å, degrees): 6.0541 6.0541 6.0541 95.44 95.44 144.13
Last column: nearest neighbours and their distance in Å.
Atoms (fractional coordinates):
Ni 0.1699 0.1699 0.3399  4 Ni 2.62-2.77, 6 Pt 2.64-2.69, 2 Pd 2.70
Ni 0.1699 0.8301 0.0000  4 Ni 2.62-2.77, 6 Pt 2.64-2.69, 2 Pd 2.70
Ni 0.8301 0.1699 0.0000  4 Ni 2.62-2.77, 6 Pt 2.64-2.69, 2 Pd 2.70
Ni 0.8301 0.8301 0.6601  4 Ni 2.62-2.77, 6 Pt 2.64-2.69, 2 Pd 2.70
Pd 0.5000 0.5000 0.0000  4 Pt 2.65, 8 Ni 2.70
Pt 0.1749 0.5000 0.6749  6 Ni 2.64-2.69, 1 Pd 2.65, 5 Pt 2.74-2.85
Pt 0.5000 0.1749 0.6749  6 Ni 2.64-2.69, 1 Pd 2.65, 5 Pt 2.74-2.85
Pt 0.5000 0.8251 0.3251  6 Ni 2.64-2.69, 1 Pd 2.65, 5 Pt 2.74-2.85
Pt 0.8251 0.5000 0.3251  6 Ni 2.64-2.69, 1 Pd 2.65, 5 Pt 2.74-2.85

Output
Space group: No. 139
Relative energy among the computed polymorphs: 0.000 eV per atom
Theoretical density: 15.1 g/cm³
Electronic total energy: -5.88 eV per atom

=====

[6]
Entry from Alexandria: crystalline Tl3BiH2 at its relaxed geometry (PBE).

Lattice parameters (Å, degrees): 4.9696 5.5303 10.5242 88.33 87.83 86.87
Last column: nearest neighbours and their distance in Å.
Atoms (fractional coordinates):
Tl 0.2096 0.2257 0.4908  1 H 2.18
Tl 0.2684 0.7926 0.7519  1 H 2.52
Tl 0.2710 0.2658 0.9962  1 H 2.43
Tl 0.7290 0.7342 0.0038  1 H 2.43
Tl 0.7316 0.2074 0.2481  1 H 2.52
Tl 0.7904 0.7743 0.5092  1 H 2.18
Bi 0.2064 0.6758 0.2485  2 H 1.96-1.99
Bi 0.7936 0.3242 0.7515  2 H 1.96-1.99
H 0.3324 0.9907 0.1787  1 Bi 1.99
H 0.4756 0.7080 0.3780  1 Bi 1.96, 1 Tl 2.18
H 0.5244 0.2920 0.6220  1 Bi 1.96, 1 Tl 2.18
H 0.6676 0.0093 0.8213  1 Bi 1.99

Output
Space group: No. 2
Theoretical density: 9.5 g/cm³
Electronic total energy: -2.71 eV per atom

=====

[7]
Entry from Alexandria: crystalline KTbPm2Te4 at its relaxed geometry (PBE).

Lattice parameters (Å, degrees): 7.8719 4.4581 7.8874 90.00 108.48 90.00
Last column: nearest neighbours and their distance in Å.
Atoms (fractional coordinates):
K 0.0000 0.0000 0.0000  6 Te 3.25-3.28
Tb 0.0000 0.5000 0.5000  6 Te 3.16-3.17
Pm 0.5000 0.0000 0.5000  6 Te 3.13-3.15
Pm 0.5000 0.5000 0.0000  6 Te 3.23-3.24
Te 0.2486 0.0000 0.7408  3 Pm 3.15-3.24, 2 Tb 3.17, 1 K 3.25
Te 0.2586 0.5000 0.2642  3 Pm 3.13-3.23, 1 Tb 3.16, 2 K 3.28
Te 0.7414 0.5000 0.7358  3 Pm 3.13-3.23, 1 Tb 3.16, 2 K 3.28
Te 0.7514 0.0000 0.2592  3 Pm 3.15-3.24, 2 Tb 3.17, 1 K 3.25

Output
Space group: No. 10
Energy relative to the elements, uncorrected: -1.350 eV/atom
Theoretical density: 6.3 g/cm³
Electronic total energy: -4.82 eV per atom

=====

[8]
Entry from Alexandria: crystalline PrAlGa4 at its relaxed geometry (PBE).

Lattice parameters (Å, degrees): 5.5839 5.5839 5.5839 60.00 60.00 60.00
Last column: nearest neighbours and their distance in Å.
Atoms (fractional coordinates):
Pr 0.0000 0.0000 0.0000  12 Ga 3.28, 4 Al 3.42
Al 0.2500 0.2500 0.2500  12 Ga 3.27, 4 Pr 3.42
Ga 0.1265 0.6245 0.6245  6 Ga 2.78-2.80
Ga 0.6245 0.1265 0.6245  6 Ga 2.78-2.80
Ga 0.6245 0.6245 0.1265  6 Ga 2.78-2.80
Ga 0.6245 0.6245 0.6245  6 Ga 2.78-2.80

Output
Space group: No. 216
Relative energy among the computed polymorphs: 0.139 eV per atom
Theoretical density: 6.0 g/cm³
Electronic total energy: -3.62 eV per atom

=====

Number 8 is which compound? PrAlGa4